Material: LaCeGeBr
Method: DFT, PBE
State: relaxed

Geometry as POSCAR:
```
LaCeGeBr
1.0
6.049 0.000 0.000
0.000 4.692 0.000
0.000 0.000 9.643
La Ce Ge Br
2 2 2 2
direct
0.000 0.000 0.000
0.000 0.500 0.500
0.500 0.000 0.691
0.500 0.500 0.191
0.500 0.000 0.002
0.500 0.500 0.502
0.000 0.000 0.694
0.000 0.500 0.194
```

* uncorrected energy: -5.09 eV/atom
* uncorrected formation energy: -801 meV/atom
* energy above the lowest structure with this stoichiometry: 127 meV/atom
* Fermi-level density of states: 2.169 states/eV/atom